Entry 1:
# BeGa2S2, relaxed, DFT PBE
# Formation energy from raw total energies   0.171 eV/atom
# ρ   3.9 g cm⁻³
# Calculated volume   89 Å³/f.u.
# Space group   I4/mmm (139)
# Crystal system   tetragonal
# Polymorph energy (0 for the lowest one)   0.0 kJ/mol of atoms
data_BeGa2S2
_space_group_name_H-M_alt 'P 1'
_space_group_IT_number 1
_cell_length_a 5.057
_cell_length_b 5.057
_cell_length_c 5.057
_cell_angle_alpha 121.39
_cell_angle_beta 121.39
_cell_angle_gamma 87.62
loop_
_space_group_symop_operation_xyz
'x,y,z'
loop_
_atom_site_label
_atom_site_type_symbol
_atom_site_fract_x
_atom_site_fract_y
_atom_site_fract_z
Be1 Be 0.000 0.000 0.000
Ga1 Ga 0.331 0.331 0.000
Ga2 Ga 0.669 0.669 0.000
S1 S 0.250 0.750 0.500
S2 S 0.750 0.250 0.500

Entry 2:
# KBa2PtF8, relaxed, DFT PBE
# Formation energy from raw total energies   -2.627 eV/atom
# ρ   4.7 g cm⁻³
# Calculated volume   232 Å³/f.u.
# Space group   P-3m1 (164)
# Crystal system   trigonal
data_KBa2PtF8
_space_group_name_H-M_alt 'P 1'
_space_group_IT_number 1
_cell_length_a 5.695
_cell_length_b 5.695
_cell_length_c 8.252
_cell_angle_alpha 90.00
_cell_angle_beta 90.00
_cell_angle_gamma 120.00
loop_
_space_group_symop_operation_xyz
'x,y,z'
loop_
_atom_site_label
_atom_site_type_symbol
_atom_site_fract_x
_atom_site_fract_y
_atom_site_fract_z
K1 K 0.000 0.000 0.000
Ba1 Ba 0.333 0.667 0.311
Ba2 Ba 0.667 0.333 0.689
Pt1 Pt 0.000 0.000 0.500
F1 F 0.167 0.334 0.654
F2 F 0.167 0.833 0.654
F3 F 0.333 0.667 0.027
F4 F 0.334 0.167 0.346
F5 F 0.666 0.833 0.654
F6 F 0.667 0.333 0.973
F7 F 0.833 0.167 0.346
F8 F 0.833 0.666 0.346

Entry 3:
# RbAsO3, relaxed, DFT PBE
# Formation energy from raw total energies   -1.065 eV/atom
# ρ   4.3 g cm⁻³
# Calculated volume   80 Å³/f.u.
# Space group   P6_3/mmc (194)
# Crystal system   hexagonal
data_RbAsO3
_space_group_name_H-M_alt 'P 1'
_space_group_IT_number 1
_cell_length_a 3.637
_cell_length_b 3.637
_cell_length_c 13.972
_cell_angle_alpha 90.00
_cell_angle_beta 90.00
_cell_angle_gamma 120.00
loop_
_space_group_symop_operation_xyz
'x,y,z'
loop_
_atom_site_label
_atom_site_type_symbol
_atom_site_fract_x
_atom_site_fract_y
_atom_site_fract_z
Rb1 Rb 0.000 0.000 0.000
Rb2 Rb 0.000 0.000 0.500
As1 As 0.333 0.667 0.250
As2 As 0.667 0.333 0.750
O1 O 0.000 0.000 0.250
O2 O 0.000 0.000 0.750
O3 O 0.333 0.667 0.130
O4 O 0.333 0.667 0.370
O5 O 0.667 0.333 0.630
O6 O 0.667 0.333 0.870

Entry 4:
# HoTm2Tl, relaxed, DFT PBE
# ρ   10.2 g cm⁻³
# Calculated volume   116 Å³/f.u.
# Space group   P4/mmm (123)
# Crystal system   tetragonal
# E_form   -0.163 eV/atom
# Polymorph energy (0 for the lowest one)   0.1 kJ/mol of atoms
data_HoTm2Tl
_space_group_name_H-M_alt 'P 1'
_space_group_IT_number 1
_cell_length_a 3.579
_cell_length_b 3.579
_cell_length_c 9.022
_cell_angle_alpha 90.00
_cell_angle_beta 90.00
_cell_angle_gamma 90.00
loop_
_space_group_symop_operation_xyz
'x,y,z'
loop_
_atom_site_label
_atom_site_type_symbol
_atom_site_fract_x
_atom_site_fract_y
_atom_site_fract_z
Ho1 Ho 0.000 0.000 0.000
Tm1 Tm 0.500 0.500 0.269
Tm2 Tm 0.500 0.500 0.731
Tl1 Tl 0.000 0.000 0.500